Here is an optimized crystal structure of Ti2V2Ga3 from the Alexandria database. Energies are from PBE-GGA.

## Properties
Polymorph energy (0 for the lowest one) = 0 meV per atom
Formation energy from the elements = -0.2796 eV/atom
Space group = Cmmm

a b c (Å): 9.5822 9.5822 2.6736
angles (deg): 90.00 90.00 154.82
Closest atoms and distances in Å follow each position.
Atoms (fractional coordinates):
Ti 0.0736 0.9264 0.0000  1 V 2.62, 3 Ti 2.67-2.75, 8 Ga 2.84-2.90
Ti 0.9264 0.0736 0.0000  1 V 2.62, 3 Ti 2.67-2.75, 8 Ga 2.84-2.90
V 0.2139 0.7861 0.0000  4 V 2.49-2.67, 1 Ti 2.62, 4 Ga 2.72
V 0.7861 0.2139 0.0000  4 V 2.49-2.67, 1 Ti 2.62, 4 Ga 2.72
Ga 0.3461 0.6539 0.5000  3 Ga 2.67-2.88, 6 V 2.72-2.81, 4 Ti 2.90
Ga 0.5000 0.5000 0.5000  4 Ga 2.67-2.88, 8 Ti 2.84
Ga 0.6539 0.3461 0.5000  3 Ga 2.67-2.88, 6 V 2.72-2.81, 4 Ti 2.90

=====

Here is an optimized crystal structure of Sm3Bi2O2 from the Alexandria database. Energies are from PBE-GGA.

## Properties
Space group = P-1

a b c (Å): 3.4871 6.2331 8.0759
angles (deg): 99.87 102.46 106.23
Closest atoms and distances in Å follow each position.
Atoms (fractional coordinates):
Sm 0.0000 0.0000 0.0000  4 O 2.47
Sm 0.1026 0.4211 0.7834  3 O 2.38-2.52
Sm 0.8974 0.5789 0.2166  3 O 2.38-2.52
Bi 0.3055 0.2059 0.4064  5 Sm 3.14-3.45, 3 Bi 3.46-3.49
Bi 0.6945 0.7941 0.5936  5 Sm 3.14-3.45, 3 Bi 3.46-3.49
O 0.3844 0.7271 0.0417  5 Sm 2.38-2.52
O 0.6156 0.2729 0.9583  5 Sm 2.38-2.52

=====

One value per record, in order, for uncorrected energy: -45.07 -45.07 eV per cell.
One value per record, in order, for density: 6.5 9.4 Mg/m³.